# 1
## Y2Ga3Cu12Ni (PBE)

Data for crystalline Y2Ga3Cu12Ni at its relaxed geometry.

The structure in POSCAR format:
```
Y2Ga3Cu12Ni
1.0
-4.577 -8.324 -7.620
-4.133 -11.015 -3.144
-8.315 -7.965 -3.964
Y Ga Cu Ni
2 3 12 1
Cartesian
-10.971 -17.594 -9.490
-6.054 -9.709 -5.237
-2.288 -4.162 -3.810
-2.066 -5.507 -1.572
-4.158 -3.982 -1.982
-10.747 -14.667 -7.752
-10.961 -20.284 -11.109
-12.844 -20.104 -9.267
-8.959 -14.839 -9.501
-13.068 -18.748 -11.522
-8.747 -16.126 -7.360
-6.277 -12.637 -6.975
-6.064 -7.019 -3.618
-4.180 -7.200 -5.460
-8.066 -12.465 -5.226
-3.957 -8.556 -3.205
-8.278 -11.178 -7.367
0.000 0.000 0.000
```

Calculated values
ΔH_f (0 K)   0.043 eV/atom
Space group   No. 166
Theoretical density   7.1 g/cm³
DOS(E_F)   12.43 states/eV/cell
Uncorrected energy   -4.23 eV per atom

# 2
## ScAlSb2 (PBE)

Data for crystalline ScAlSb2 at its relaxed geometry.

The structure in POSCAR format:
```
ScAlSb2
1.0
5.942 0.004 0.011
4.615 3.743 0.011
0.360 0.128 4.205
Sc Sb Al
1 2 1
Cartesian
5.815 2.064 1.665
10.634 3.774 3.848
2.812 0.998 1.478
8.030 2.850 3.577
```

Calculated values
Space group   No. 8
Uncorrected formation energy   -0.41 eV/atom
Theoretical density   5.6 g/cm³
Energy above the lowest structure with this stoichiometry   0 meV/atom
DOS(E_F)   2.04 states/eV/cell
Uncorrected energy   -4.99 eV per atom

# 3
## Tb2PmYSc4 (PBE)

Data for crystalline Tb2PmYSc4 at its relaxed geometry.

The structure in POSCAR format:
```
Tb2PmYSc4
1.0
4.932 0.000 0.000
0.000 4.851 0.945
0.000 3.072 10.063
Tb Pm Y Sc
2 1 1 4
Cartesian
0.000 3.072 10.063
2.466 1.536 5.032
0.000 3.961 5.504
2.466 2.425 0.473
0.000 5.940 8.260
4.932 1.983 2.749
2.466 4.408 3.221
2.466 3.515 7.788
```

Calculated values
ΔH_f (0 K)   0.053 eV/atom
Space group   No. 123
Theoretical density   5.4 g/cm³
DOS(E_F)   13.65 states/eV/cell
Uncorrected energy   -5.67 eV per atom

# 4
## AgP2Rh2 (PBE)

Data for crystalline AgP2Rh2 at its relaxed geometry.

The structure in POSCAR format:
```
AgP2Rh2
1.0
-0.530 -7.055 0.084
7.055 -0.529 0.089
-0.034 0.037 2.912
P Rh Ag
4 4 2
Cartesian
5.837 -2.948 0.106
4.106 -6.366 0.129
0.688 -4.636 0.067
2.419 -1.218 0.044
4.442 -1.329 1.525
5.690 -4.970 1.586
2.049 -6.218 1.560
0.801 -2.577 1.499
0.000 0.000 0.000
3.263 -3.792 0.086
```

Calculated values
ΔH_f (0 K)   -0.171 eV/atom
Space group   No. 127
Theoretical density   8.6 g/cm³
Energy above the lowest structure with this stoichiometry   43 meV/atom
DOS(E_F)   7.59 states/eV/cell
Uncorrected energy   -5.85 eV per atom

# 5
## CsGa2OsO8 (PBE)

Data for crystalline CsGa2OsO8 at its relaxed geometry.

The structure in POSCAR format:
```
CsGa2OsO8
1.0
-0.236 -4.535 1.205
2.146 -1.104 -4.037
6.646 0.366 3.720
Cs Ga Os O
1 2 1 8
Cartesian
3.323 0.183 1.860
6.381 -2.484 1.546
2.176 -2.789 -0.658
0.000 0.000 0.000
2.759 -1.708 -2.423
7.981 -3.582 1.741
1.485 -3.763 0.835
5.798 -3.566 3.311
0.576 -1.692 -0.852
7.072 -1.511 0.054
4.001 -2.405 -0.201
4.556 -2.869 1.089
```

Calculated values
Space group   No. 2
Uncorrected formation energy   -1.17 eV/atom
Theoretical density   5.8 g/cm³
DOS(E_F)   1.52 states/eV/cell
Uncorrected energy   -5.99 eV per atom

# 6
## Ca3As2 (PBE)

Data for crystalline Ca3As2 at its relaxed geometry.

The structure in POSCAR format:
```
Ca3As2
1.0
8.831 -2.286 0.039
8.831 2.286 0.039
8.221 0.000 3.952
Ca As
3 2
Cartesian
0.000 0.000 0.000
19.968 0.000 3.109
5.914 0.000 0.921
10.337 0.000 1.609
15.546 0.000 2.420
```

Calculated values
ΔH_f (0 K)   -0.968 eV/atom
Space group   No. 166
Theoretical density   2.8 g/cm³
DOS(E_F)   0.39 states/eV/cell
Uncorrected energy   -4.03 eV per atom